Below is a geometry-optimized NaTl3V4O12 structure, with properties calculated at the GGA+U level.

Unit cell a=7.408 b=7.408 c=7.408 alpha=106.48 beta=106.48 gamma=106.48
Atoms (fractional coordinates):
Na 0.000 0.000 0.000
Tl 0.000 0.547 0.453
Tl 0.453 0.000 0.547
Tl 0.547 0.453 0.000
V 0.048 0.500 0.952
V 0.500 0.500 0.500
V 0.500 0.952 0.048
V 0.952 0.048 0.500
O 0.032 0.637 0.794
O 0.100 0.900 0.500
O 0.206 0.363 0.968
O 0.352 0.648 0.500
O 0.363 0.968 0.206
O 0.500 0.100 0.900
O 0.500 0.352 0.648
O 0.637 0.794 0.032
O 0.648 0.500 0.352
O 0.794 0.032 0.637
O 0.900 0.500 0.100
O 0.968 0.206 0.363

- Total DFT energy (no corrections): -121.74 eV per formula unit
- Spin magnetization: 4.9 μB/f.u.
- V: 17.160 Å³/atom